Material: Mg2TlZnCu
Method: DFT, PBE-GGA
State: optimized geometry

The value obtained for the formation energy is 0.096 eV/atom. The value obtained for the calculated volume is 23.14 A^3/atom.

The structure belongs to space group P4/mmm (No. 123); the cell edges are 4.9873, 4.9873 and 4.6517 Å and the angles 90.00°, 90.00° and 90.00°. Symmetry generates all atoms from Mg at (0.0000, 0.5000, 0.0000), Tl at (0.0000, 0.0000, 0.5000), Zn at (0.5000, 0.5000, 0.5000) and Cu at (0.5000, 0.5000, 0.0000).

---

Material: LiAc2Si2Au6
Method: DFT, PBE-GGA
State: optimized geometry

Its formation energy from raw total energies is -47.9 kJ/mol of atoms. The value obtained for the calculated volume is 23.60 A^3/atom.

The structure belongs to space group R-3m (No. 166, hexagonal axes); the cell edges are 6.9210, 6.9210 and 18.7751 Å and the angles 90.00°, 90.00° and 120.00°. Symmetry generates all atoms from Li at (0.0000, 0.0000, 0.0000), Ac at (0.0000, 0.0000, 0.2630), Si at (0.0000, 0.0000, 0.4333) and Au at (0.0628, 0.5314, 0.7740).